# 1
A plane-wave DFT calculation with PBE-GGA was carried out for an optimized crystal structure of ScOsPt2.

POSCAR file:
```
ScOsPt2
1.0
2.815 0.000 0.000
0.000 4.046 0.000
0.000 0.000 5.594
Sc Os Pt
1 1 2
direct
0.000 0.000 0.000
0.000 0.000 0.500
0.500 0.500 0.261
0.500 0.500 0.739
```

Summary:
ΔE_f in kJ/mol of formula units: -181
ρ in g/cm3: 16.30
M_tot in μB/atom: 0.0000
Symmetry: Pmmm (47)

=====

# 2
A plane-wave DFT calculation with PBE-GGA was carried out for an optimized crystal structure of ScOs2Pt.

POSCAR file:
```
ScOs2Pt
1.0
1.542 -2.282 0.000
1.542 2.282 0.000
0.000 0.000 8.971
Sc Os Pt
1 2 1
direct
0.000 0.000 0.000
0.500 0.500 0.248
0.500 0.500 0.752
0.000 0.000 0.500
```

Summary:
ΔE_f in kJ/mol of formula units: 90
ρ in g/cm3: 16.32
M_tot in μB/atom: 0.0001
Symmetry: Cmmm (65)

=====

# 3
A plane-wave DFT calculation with PBE-GGA was carried out for an optimized crystal structure of Sc4Os3Pt.

POSCAR file:
```
Sc4Os3Pt
1.0
3.255 0.000 0.000
0.000 3.255 0.000
0.000 0.000 12.765
Sc Os Pt
4 3 1
direct
0.000 0.000 0.124
0.000 0.000 0.370
0.000 0.000 0.630
0.000 0.000 0.876
0.500 0.500 0.000
0.500 0.500 0.251
0.500 0.500 0.749
0.500 0.500 0.500
```

Summary:
ΔE_f in kJ/mol of formula units: -473
ρ in g/cm3: 11.61
M_tot in μB/atom: 0.0000
Symmetry: P4/mmm (123)

=====

# 4
A plane-wave DFT calculation with PBE-GGA was carried out for an optimized crystal structure of Sc2Os2Pt.

POSCAR file:
```
Sc2Os2Pt
1.0
6.705 0.000 0.000
0.000 6.705 0.000
0.000 0.000 4.034
Sc Os Pt
4 4 2
direct
0.179 0.321 0.000
0.321 0.821 0.000
0.679 0.179 0.000
0.821 0.679 0.000
0.125 0.625 0.500
0.375 0.125 0.500
0.625 0.875 0.500
0.875 0.375 0.500
0.000 0.000 0.500
0.500 0.500 0.500
```

Summary:
ΔE_f in kJ/mol of formula units: -182
ρ in g/cm3: 12.19
M_tot in μB/atom: 0.0000
Symmetry: P4/mbm (127)

=====

# 5
A plane-wave DFT calculation with PBE-GGA was carried out for an optimized crystal structure of ScOs2Pt.

POSCAR file:
```
ScOs2Pt
1.0
1.423 0.821 9.078
-1.423 0.821 9.078
0.000 -1.643 9.078
Sc Os Pt
1 2 1
direct
0.000 0.000 0.000
0.246 0.246 0.246
0.504 0.504 0.504
0.750 0.750 0.750
```

Summary:
ΔE_f in kJ/mol of formula units: -2
ρ in g/cm3: 16.19
M_tot in μB/atom: 0.0001
Symmetry: R3m (160)

=====

# 6
A plane-wave DFT calculation with PBE-GGA was carried out for an optimized crystal structure of Sc2OsPt.

POSCAR file:
```
Sc2OsPt
1.0
1.575 0.909 8.322
-1.575 0.909 8.322
0.000 -1.819 8.322
Sc Os Pt
2 1 1
direct
0.248 0.248 0.248
0.752 0.752 0.752
0.500 0.500 0.500
0.000 0.000 0.000
```

Summary:
ΔE_f in kJ/mol of formula units: -151
ρ in g/cm3: 11.04
E above lowest polymorph in meV per atom: 505.1
M_tot in μB/atom: 0.0000
Symmetry: R-3m (166)

=====

# 7
A plane-wave DFT calculation with PBE-GGA was carried out for an optimized crystal structure of ScOsPt2.

POSCAR file:
```
ScOsPt2
1.0
0.000 3.194 3.194
3.194 0.000 3.194
3.194 3.194 0.000
Sc Os Pt
1 1 2
direct
0.000 0.000 0.000
0.250 0.250 0.250
0.500 0.500 0.500
0.750 0.750 0.750
```

Summary:
ΔE_f in kJ/mol of formula units: -78
ρ in g/cm3: 15.94
M_tot in μB/atom: 0.1876
Symmetry: F-43m (216)

=====

# 8
A plane-wave DFT calculation with PBE-GGA was carried out for an optimized crystal structure of ScOs2Pt.

POSCAR file:
```
ScOs2Pt
1.0
-1.900 1.900 9.738
1.900 -1.900 9.738
1.900 1.900 -9.738
Sc Os Pt
2 4 2
direct
0.000 0.000 0.000
0.750 0.250 0.500
0.172 0.625 0.047
0.375 0.422 0.547
0.578 0.125 0.953
0.875 0.828 0.453
0.250 0.750 0.500
0.500 0.500 0.000
```

Summary:
ΔE_f in kJ/mol of formula units: 73
ρ in g/cm3: 14.65
M_tot in μB/atom: 0.0000
Symmetry: I-42d (122)